The following is a DFT calculation (PBE-GGA) of a relaxed structure of LiCuAu2.

a = 4.460 Å, b = 4.460 Å, c = 4.460 Å
α = 60.00°, β = 60.00°, γ = 60.00°
Atoms (fractional coordinates):
Au 0.000 0.000 0.000
Au 0.750 0.750 0.750
Cu 0.250 0.250 0.250
Li 0.500 0.500 0.500

Values from the calculation:
Calculated density, g/cm3: 12.293
Total DFT energy (no corrections), eV/cell: -13.0
V, Å³ per atom: 15.683